DFT (PBE-GGA) results for NaGePtO2 after structural relaxation.

Cell lengths 3.945, 5.672, 3.945 Å; angles 90.00, 90.00, 90.00 degrees
Each line ends with the local moment (μB).
Fractional positions:
Na1 0.000 0.500 0.000  0.00
Ge1 0.500 0.500 0.500  0.02
O1 0.000 0.000 0.500  0.14
Pt1 0.000 0.000 0.000  0.54
O2 0.500 0.000 0.000  0.42

Output
ΔE_f (raw) ... 0.227 eV per atom
Magnetic moment ... 0.25 μB/atom